Material: KMnCdF2
Method: DFT, GGA+U
State: optimized geometry

Cell lengths 4.7755, 4.7755, 5.7949 Å; angles 90.00, 90.00, 90.00 degrees
Element x y z (fractional)
K: 0.0000 0.0000 0.0000
Mn: 0.5000 0.5000 0.5000
Cd: 0.0000 0.0000 0.5000
F: 0.0000 0.5000 0.0000
F: 0.5000 0.0000 0.0000

Properties
- E: -3.44 eV per atom
- Total moment: 5.545 μB/f.u.
- Density of states at the Fermi level: 0.220 states/eV/atom